# 1
Ac2Ag3Au (PBE, relaxed); total magnetic moment = 0.00 μB/cell; distance to the lowest polymorph of the same formula = 0.3 kJ per mole of atoms
1.0
0.0000 4.8015 8.4560
4.0275 0.0000 8.4560
4.0275 4.8015 0.0000
Ac Ag Au
4 6 2
direct
0.2474 0.7526 0.7526 Ac
0.2500 0.2500 0.2500 Ac
0.7500 0.7500 0.7500 Ac
0.7526 0.2474 0.2474 Ac
0.1691 0.6661 0.3339 Ag
0.3340 0.3340 0.6660 Ag
0.3339 0.8309 0.1691 Ag
0.6661 0.1691 0.8309 Ag
0.6660 0.6660 0.3340 Ag
0.8309 0.3339 0.6661 Ag
0.1678 0.1678 0.8322 Au
0.8322 0.8322 0.1678 Au

---

# 2
GaPRuS2 (PBE, relaxed); energy relative to the elements, uncorrected = 384 meV/atom; total magnetic moment = 0.02 μB/cell; distance to the lowest polymorph of the same formula = 0.0 kJ per mole of atoms
1.0
4.8466 0.0000 0.0000
0.0000 4.8466 0.0000
0.0000 0.0000 4.4576
Ga P Ru S
1 1 1 2
direct
0.0000 0.0000 0.0000 Ga
0.5000 0.5000 0.0000 P
0.5000 0.5000 0.5000 Ru
0.0000 0.5000 0.5000 S
0.5000 0.0000 0.5000 S

---

# 3
K2PRh (PBE, relaxed); calculated total energy = -31.5 eV per cell; total magnetic moment = 0.00 μB/cell
1.0
-6.1381 6.1381 2.1983
6.1381 -6.1381 2.1983
6.1381 6.1381 -2.1983
K P Rh
4 2 2
direct
0.3750 0.1650 0.2900 K
0.8350 0.1250 0.2100 K
0.8750 0.0850 0.7100 K
0.9150 0.6250 0.7900 K
0.0000 0.0000 0.0000 P
0.7500 0.2500 0.5000 P
0.2500 0.7500 0.5000 Rh
0.5000 0.5000 0.0000 Rh

---

# 4
NdNiHgAu (PBE, relaxed); calculated total energy = -15.3 eV per cell; total magnetic moment = 0.00 μB/cell
1.0
0.0000 3.4686 3.4686
3.4686 0.0000 3.4686
3.4686 3.4686 0.0000
Nd Ni Hg Au
1 1 1 1
direct
0.0000 0.0000 0.0000 Nd
0.2500 0.2500 0.2500 Ni
0.5000 0.5000 0.5000 Hg
0.7500 0.7500 0.7500 Au

---

# 5
La2YMo (PBE, relaxed); total magnetic moment = 0.00 μB/cell; distance to the lowest polymorph of the same formula = 23.9 kJ per mole of atoms
1.0
-4.4028 4.4028 3.1636
4.4028 -4.4028 3.1636
4.4028 4.4028 -3.1636
La Y Mo
4 2 2
direct
0.0390 0.6250 0.9140 La
0.3750 0.2890 0.4140 La
0.7110 0.1250 0.0860 La
0.8750 0.9610 0.5860 La
0.2500 0.7500 0.5000 Y
0.5000 0.5000 0.0000 Y
0.0000 0.0000 0.0000 Mo
0.7500 0.2500 0.5000 Mo

---

# 6
KSi4Pt4 (PBE, relaxed); energy relative to the elements, uncorrected = -722 meV/atom; total magnetic moment = 0.00 μB/cell
1.0
-4.2370 4.2370 2.3152
4.2370 -4.2370 2.3152
4.2370 4.2370 -2.3152
K Si Pt
1 4 4
direct
0.0000 0.0000 0.0000 K
0.1147 0.6135 0.7282 Si
0.3865 0.1147 0.5012 Si
0.6135 0.8853 0.4988 Si
0.8853 0.3865 0.2718 Si
0.1805 0.3319 0.5124 Pt
0.3319 0.8195 0.1514 Pt
0.6681 0.1805 0.8486 Pt
0.8195 0.6681 0.4876 Pt